Version P
CaSbCl2 | meta-GGA SCAN | PBEsol geometry

Unit cell a=4.679 b=4.679 c=4.274 alpha=90.00 beta=90.00 gamma=90.00
Element x y z (fractional)
Ca  0.000  0.000  0.000
Sb  0.500  0.500  0.000
Cl  0.000  0.500  0.500
Cl  0.500  0.000  0.500

volume	93.56	Å³/cell
total moment	0.0	μB per formula unit
Fermi-level density of states	2.436	states/eV/cell

***

Version Q
CaSbCl2 | meta-GGA SCAN | PBEsol geometry

Unit cell a=11.298 b=11.298 c=11.298 alpha=18.44 beta=18.44 gamma=18.44
Element x y z (fractional)
Ca  0.000  0.000  0.000
Sb  0.500  0.500  0.500
Cl  0.285  0.285  0.285
Cl  0.715  0.715  0.715

volume	126.09	Å³/cell
total moment	0.0	μB per formula unit
Fermi-level density of states	1.316	states/eV/cell

***

Which is most stable, and by how much? version Q, by 0.523 eV/atom.